First-principles (PBE-GGA) data for SrCaHf after structural relaxation, as listed in Alexandria.

Cell and atoms, written as POSCAR:
```
SrCaHf
1.0
9.034 0.000 0.000
0.000 3.506 0.000
0.000 0.000 13.381
Sr Ca Hf
4 4 4
direct
0.179 0.250 0.064 Sr
0.321 0.750 0.564 Sr
0.679 0.250 0.436 Sr
0.821 0.750 0.936 Sr
0.143 0.250 0.783 Ca
0.357 0.750 0.283 Ca
0.643 0.250 0.717 Ca
0.857 0.750 0.217 Ca
0.058 0.250 0.417 Hf
0.442 0.750 0.917 Hf
0.558 0.250 0.083 Hf
0.942 0.750 0.583 Hf
```

Summary:
**V**: 106.0 Å³/f.u.
**Energy relative to the elements**: 414 meV per atom
**SG**: No. 62
**Relative energy among the computed polymorphs**: 0.007 eV/f.u.